{
  "formula": "SmTm2Te4",
  "functional": "PBE",
  "state": "relaxed",
  "lattice_angstrom": [[8.209, -2.169, 0.000], [8.209, 2.169, 0.000], [-3.400, 0.000, 6.707]],
  "species": ["Sm", "Tm", "Tm", "Te", "Te", "Te", "Te"],
  "fractional_positions": [[0.000, 0.000, 0.000], [0.255, 0.255, 0.269], [0.745, 0.745, 0.731], [0.125, 0.125, 0.461], [0.366, 0.366, 0.031], [0.634, 0.634, 0.969], [0.875, 0.875, 0.539]],
  "e_above_lowest_polymorph_mev_per_atom": 0.0,
  "sg": "C2/m, No. 12"
}

***

{
  "formula": "Sm2Tm2Te5",
  "functional": "PBE",
  "state": "relaxed",
  "lattice_angstrom": [[8.272, -2.930, 0.000], [8.272, 2.930, 0.000], [-2.132, 0.000, 5.817]],
  "species": ["Sm", "Sm", "Tm", "Tm", "Te", "Te", "Te", "Te", "Te"],
  "fractional_positions": [[0.100, 0.100, 0.319], [0.900, 0.900, 0.681], [0.327, 0.327, 0.029], [0.673, 0.673, 0.971], [0.126, 0.126, 0.847], [0.310, 0.310, 0.512], [0.500, 0.500, 0.000], [0.690, 0.690, 0.488], [0.874, 0.874, 0.153]],
  "sg": "C2/m, No. 12"
}

***

{
  "formula": "SmTm2Te3",
  "functional": "PBE",
  "state": "relaxed",
  "lattice_angstrom": [[-2.179, 3.064, 6.540], [2.179, -3.064, 6.540], [2.179, 3.064, -6.540]],
  "species": ["Sm", "Tm", "Tm", "Te", "Te", "Te"],
  "fractional_positions": [[0.000, 0.000, 0.000], [0.342, 0.342, 0.000], [0.658, 0.658, 0.000], [0.176, 0.676, 0.500], [0.500, 0.000, 0.500], [0.824, 0.324, 0.500]],
  "sg": "Immm, No. 71"
}

***

{
  "formula": "SmTmTe",
  "functional": "PBE",
  "state": "relaxed",
  "lattice_angstrom": [[-1.941, 1.941, 5.811], [1.941, -1.941, 5.811], [1.941, 1.941, -5.811]],
  "species": ["Sm", "Tm", "Te"],
  "fractional_positions": [[0.000, 0.000, 0.000], [0.312, 0.312, 0.000], [0.668, 0.668, 0.000]],
  "e_above_lowest_polymorph_mev_per_atom": 0.0,
  "sg": "I4mm, No. 107"
}

***

What electronic total energy values result from the calculations? In sequence: -5.113 -4.958 -5.089 -4.880 eV per atom.
What total magnetic moment values result from the calculations? In sequence: 0.00 0.00 0.00 0.00 Bohr magnetons per cell.